# 1
6
Lattice="-0.863 4.016 3.863 -1.886 -4.075 -3.411 0.619 -3.091 3.352" Properties=species:S:1:pos:R:3 comment="Ru2C (PBE, relaxed)" ef_ev_per_atom=0.65 dft_energy_ev_per_fu=-25.83 relative_energy_mev_per_atom=338 volume_a3_per_cell=70.1 sg="No. 63" pbc="T T T"
C -0.476 1.087 5.829
C -1.654 -4.238 -2.024
Ru -1.282 -1.292 0.624
Ru -0.849 -1.859 3.180
Ru -1.125 -4.046 1.214
Ru -1.005 0.895 2.591

# 2
12
Lattice="-1.187 -4.642 1.325 3.404 -1.773 -3.160 3.423 0.153 3.602" Properties=species:S:1:pos:R:3 comment="RuC2 (PBE, relaxed)" ef_ev_per_atom=1.42 dft_energy_ev_per_fu=-23.45 relative_energy_mev_per_atom=839 volume_a3_per_cell=122.9 sg="No. 205" pbc="T T T"
Ru 1.109 -3.207 -0.917
Ru 0.000 0.000 0.000
Ru 3.414 -0.810 0.221
Ru 1.118 -2.245 2.464
C 3.493 -4.881 3.208
C 0.039 -2.083 0.593
C 2.725 -3.649 0.455
C 0.617 -4.351 2.488
C 5.024 -1.910 -0.720
C 2.147 -1.380 -1.440
C 5.601 -4.179 1.175
C 2.915 -2.613 1.313

# 3
9
Lattice="-4.009 -1.126 2.361 3.966 -2.602 0.641 1.424 3.135 3.915" Properties=species:S:1:pos:R:3 comment="RuC2 (PBE, relaxed)" ef_ev_per_atom=1.66 dft_energy_ev_per_fu=-22.74 relative_energy_mev_per_atom=1078 volume_a3_per_cell=103.5 sg="No. 162" pbc="T T T"
C -1.736 1.524 4.518
C -0.849 0.485 1.758
C 3.801 0.499 3.324
C 1.034 1.165 3.797
C 1.590 0.034 1.232
C 0.347 -1.759 3.119
Ru 0.000 0.000 0.000
Ru -0.638 -0.051 3.745
Ru 2.020 -0.543 3.171